# 1
## Li2NdSmTe4 (PBE)

Data for an optimized crystal structure of Li2NdSmTe4. Values from VASP.

Properties
- SG: No. 10
- Theoretical density: 5.6 g/cm3
- Total DFT energy (no corrections): -4.53 eV per atom

Structure (Quantum ESPRESSO input):
```
&SYSTEM
  ibrav = 0, nat = 8, ntyp = 4
/
ATOMIC_SPECIES
Li 6.94 Li.upf
Nd 144.24 Nd.upf
Sm 150.36 Sm.upf
Te 127.60 Te.upf
CELL_PARAMETERS angstrom
4.4428 0.0000 0.0000
0.0000 7.6869 0.1331
0.0000 -2.6773 7.0421
ATOMIC_POSITIONS crystal
Li 0.5000 0.0000 0.5000
Li 0.0000 0.5000 0.5000
Nd 0.0000 0.0000 0.0000
Sm 0.5000 0.5000 0.0000
Te 0.5000 0.2561 0.2617
Te 0.5000 0.7439 0.7383
Te 0.0000 0.2494 0.7397
Te 0.0000 0.7506 0.2603
```



# 2
## NaLa2HN (PBE)

Data for an optimized crystal structure of NaLa2HN. Values from VASP.

Properties
- SG: No. 123
- Theoretical density: 3.5 g/cm3
- Total DFT energy (no corrections): -4.53 eV per atom

Structure (Quantum ESPRESSO input):
```
&SYSTEM
  ibrav = 0, nat = 5, ntyp = 4
/
ATOMIC_SPECIES
Na 22.99 Na.upf
N 14.01 N.upf
H 1.01 H.upf
La 138.91 La.upf
CELL_PARAMETERS angstrom
-1.8276 -1.2868 4.2741
5.1446 -3.5817 1.1214
2.1773 3.7747 2.0675
ATOMIC_POSITIONS crystal
Na 0.5000 0.5000 0.5000
N 0.0000 0.0000 0.0000
H 0.0000 0.5000 0.0000
La 0.0000 0.0000 0.5000
La 0.5000 0.0000 0.0000
```



# 3
## KCoSCl2 (PBE)

Data for an optimized crystal structure of KCoSCl2. Values from VASP.

Properties
- SG: No. 123
- Theoretical density: 3.1 g/cm3
- Energy above the most stable polymorph in this dataset: 0.000 eV per atom

Structure (Quantum ESPRESSO input):
```
&SYSTEM
  ibrav = 0, nat = 5, ntyp = 4
/
ATOMIC_SPECIES
K 39.10 K.upf
Co 58.93 Co.upf
S 32.06 S.upf
Cl 35.45 Cl.upf
CELL_PARAMETERS angstrom
5.0543 0.0000 0.0000
0.0000 5.0543 0.0000
0.0000 0.0000 4.2426
ATOMIC_POSITIONS crystal
K 0.5000 0.5000 0.5000
Co 0.0000 0.0000 0.0000
S 0.0000 0.0000 0.5000
Cl 0.0000 0.5000 0.0000
Cl 0.5000 0.0000 0.0000
```